Compound: ZrZnGaNi
Source: Alexandria
Functional: PBE-GGA
Structure: optimized geometry

Unit cell a=4.430 b=4.430 c=4.430 alpha=60.00 beta=60.00 gamma=60.00
Atoms (fractional coordinates):
Zr 0.000 0.000 0.000
Zn 0.750 0.750 0.750
Ga 0.500 0.500 0.500
Ni 0.250 0.250 0.250

***

Compound: Zr2Ga3Ni
Source: Alexandria
Functional: PBE-GGA
Structure: optimized geometry

Unit cell a=5.350 b=5.350 c=6.588 alpha=127.50 beta=127.50 gamma=46.02
Atoms (fractional coordinates):
Zr 0.000 0.000 0.000
Zr 0.079 0.079 0.576
Ga 0.364 0.364 0.156
Ga 0.396 0.396 0.625
Ga 0.704 0.704 0.404
Ni 0.711 0.711 0.023

***

Compound: ZrGa2Ni
Source: Alexandria
Functional: PBE-GGA
Structure: optimized geometry

Unit cell a=7.508 b=6.405 c=5.284 alpha=90.00 beta=90.00 gamma=90.00
Atoms (fractional coordinates):
Zr 0.029 0.250 0.115
Zr 0.471 0.750 0.615
Zr 0.529 0.250 0.385
Zr 0.971 0.750 0.885
Ga 0.190 0.050 0.614
Ga 0.190 0.450 0.614
Ga 0.310 0.550 0.114
Ga 0.310 0.950 0.114
Ga 0.690 0.050 0.886
Ga 0.690 0.450 0.886
Ga 0.810 0.550 0.386
Ga 0.810 0.950 0.386
Ni 0.089 0.750 0.373
Ni 0.411 0.250 0.873
Ni 0.589 0.750 0.127
Ni 0.911 0.250 0.627

***

Final energy (eV per atom)
-5.0185; -5.9202; -5.6465
ΔE_f (eV per atom)
-0.361; -0.594; -0.551